No. 1
Below is a geometry-optimized BaAcZnAg structure, with properties calculated at the PBE-GGA level.

Calculated values
Its density of states at the Fermi level is 3.86 states/eV/cell. As for the space group: P4mm (99). The value obtained for the distance to the lowest polymorph of the same formula is 0 meV/atom.

Unit cell a=4.0277 b=4.0277 c=8.0503 alpha=90.00 beta=90.00 gamma=90.00
Last column: nearest neighbours and their distance in Å.
Element x y z (fractional)
Ba1 0.0000 0.0000 0.0000  4 Zn 3.60, 4 Ag 3.64, 1 Ac 3.98, 4 Ba 4.03
Ac1 0.0000 0.0000 0.4949  4 Zn 3.36, 4 Ag 3.37
Zn1 0.5000 0.5000 0.2728  4 Ac 3.36, 1 Ag 3.59, 4 Ba 3.60
Ag1 0.5000 0.5000 0.7189  4 Ac 3.37, 1 Zn 3.59, 4 Ba 3.64

***

No. 2
Below is a geometry-optimized GeTe2N2 structure, with properties calculated at the PBE-GGA level.

Calculated values
Its density of states at the Fermi level is 2.08 states/eV/cell. As for the space group: P4/mmm (123). The uncorrected formation energy comes out at 7.50 eV/f.u. The value obtained for the distance to the lowest polymorph of the same formula is 185 meV/atom.

Unit cell a=4.6948 b=4.6948 c=4.1262 alpha=90.00 beta=90.00 gamma=90.00
Last column: nearest neighbours and their distance in Å.
Element x y z (fractional)
Ge1 0.0000 0.0000 0.0000  8 Te 3.13, 4 N 3.32
Te1 0.0000 0.5000 0.5000  2 N 2.35
Te2 0.5000 0.0000 0.5000  2 N 2.35
N1 0.5000 0.5000 0.0000  2 N 2.06
N2 0.5000 0.5000 0.5000  2 N 2.06

***

No. 3
Below is a geometry-optimized Th2InHg2 structure, with properties calculated at the PBE-GGA level.

Calculated values
The value obtained for the total energy is -3.878 eV per atom. Its density of states at the Fermi level is 9.98 states/eV/cell. As for the space group: P4/mbm (127).

Unit cell a=7.7064 b=7.7064 c=4.6736 alpha=90.00 beta=90.00 gamma=90.00
Last column: nearest neighbours and their distance in Å.
Element x y z (fractional)
Th1 0.1669 0.3331 0.0000  6 Hg 3.19-3.30
Th2 0.3331 0.8331 0.0000  6 Hg 3.19-3.30
Th3 0.6669 0.1669 0.0000  6 Hg 3.19-3.30
Th4 0.8331 0.6669 0.0000  6 Hg 3.19-3.30
In1 0.0000 0.0000 0.5000  4 Hg 3.00
In2 0.5000 0.5000 0.5000  4 Hg 3.00
Hg1 0.1340 0.6340 0.5000  1 Hg 2.92, 2 In 3.00, 2 Th 3.19
Hg2 0.3660 0.1340 0.5000  1 Hg 2.92, 2 In 3.00, 2 Th 3.19
Hg3 0.6340 0.8660 0.5000  1 Hg 2.92, 2 In 3.00, 2 Th 3.19
Hg4 0.8660 0.3660 0.5000  1 Hg 2.92, 2 In 3.00, 2 Th 3.19

***

No. 4
Below is a geometry-optimized NdTaMnGe2 structure, with properties calculated at the PBE-GGA level.

Calculated values
The value obtained for the total energy is -7.440 eV per atom. Its density of states at the Fermi level is 3.87 states/eV/cell. As for the space group: I-4m2 (119).

Unit cell a=6.5619 b=6.5619 c=6.5619 alpha=144.18 beta=144.18 gamma=51.56
Last column: nearest neighbours and their distance in Å.
Element x y z (fractional)
Nd1 0.0000 0.0000 0.0000  8 Ge 3.14
Ta1 0.7500 0.2500 0.5000  4 Ge 2.60, 4 Mn 2.85
Mn1 0.2500 0.7500 0.5000  4 Ge 2.60, 4 Ta 2.85
Ge1 0.3886 0.3886 0.0000  2 Ta 2.60, 2 Mn 2.60, 1 Ge 2.63
Ge2 0.6114 0.6114 0.0000  2 Ta 2.60, 2 Mn 2.60, 1 Ge 2.63

***

No. 5
Below is a geometry-optimized AlGaGe2 structure, with properties calculated at the PBE-GGA level.

Calculated values
Its density of states at the Fermi level is 1.87 states/eV/cell. As for the space group: P4/mmm (123). The value obtained for the distance to the lowest polymorph of the same formula is 67 meV/atom.

Unit cell a=4.1789 b=4.1789 c=4.2710 alpha=90.00 beta=90.00 gamma=90.00
Last column: nearest neighbours and their distance in Å.
Element x y z (fractional)
Al1 0.0000 0.0000 0.0000  4 Ga 2.95, 8 Ge 2.99
Ga1 0.5000 0.5000 0.0000  4 Al 2.95, 8 Ge 2.99
Ge1 0.0000 0.5000 0.5000  4 Ge 2.95, 4 Ga 2.99, 4 Al 2.99
Ge2 0.5000 0.0000 0.5000  4 Ge 2.95, 4 Ga 2.99, 4 Al 2.99

***

No. 6
Below is a geometry-optimized DyYMgBe structure, with properties calculated at the PBE-GGA level.

Calculated values
The value obtained for the total energy is -4.017 eV per atom. Its density of states at the Fermi level is 4.33 states/eV/cell. As for the space group: F-43m (216).

Unit cell a=5.0964 b=5.0964 c=5.0964 alpha=60.00 beta=60.00 gamma=60.00
Last column: nearest neighbours and their distance in Å.
Element x y z (fractional)
Dy1 0.0000 0.0000 0.0000  4 Mg 3.12, 4 Be 3.12
Y1 0.5000 0.5000 0.5000  4 Be 3.12, 4 Mg 3.12
Mg1 0.7500 0.7500 0.7500  4 Dy 3.12, 4 Y 3.12
Be1 0.2500 0.2500 0.2500  4 Dy 3.12, 4 Y 3.12

***

No. 7
Below is a geometry-optimized ZrCdTc2 structure, with properties calculated at the PBE-GGA level.

Calculated values
The value obtained for the total energy is -7.323 eV per atom. Its density of states at the Fermi level is 3.70 states/eV/cell. As for the space group: C2/m (12).

Unit cell a=5.1853 b=5.1853 c=4.7372 alpha=111.87 beta=111.87 gamma=38.11
Last column: nearest neighbours and their distance in Å.
Element x y z (fractional)
Zr1 0.0000 0.0000 0.0000  4 Tc 2.80, 4 Cd 2.91
Cd1 0.5000 0.5000 0.5000  6 Tc 2.87-2.93, 4 Zr 2.91
Tc1 0.2574 0.2574 0.7134  2 Tc 2.60, 2 Zr 2.80, 2 Cd 2.87
Tc2 0.7426 0.7426 0.2866  2 Tc 2.60, 2 Zr 2.80, 2 Cd 2.87

***

No. 8
Below is a geometry-optimized LaPmCd5 structure, with properties calculated at the PBE-GGA level.

Calculated values
The value obtained for the total energy is -2.168 eV per atom. Its density of states at the Fermi level is 4.87 states/eV/cell. As for the space group: Cmmm (65).

Unit cell a=4.8283 b=4.8283 c=8.5747 alpha=90.00 beta=90.00 gamma=92.48
Last column: nearest neighbours and their distance in Å.
Element x y z (fractional)
La1 0.0000 0.0000 0.0000  8 Cd 3.26
Pm1 0.5000 0.5000 0.5000  12 Cd 3.20-3.49
Cd1 0.0000 0.0000 0.5000  8 Cd 3.20, 4 Pm 3.34-3.49
Cd2 0.0000 0.5000 0.2558  2 Pm 3.20, 6 Cd 3.20-3.49, 2 La 3.26
Cd3 0.0000 0.5000 0.7442  2 Pm 3.20, 6 Cd 3.20-3.49, 2 La 3.26
Cd4 0.5000 0.0000 0.2558  2 Pm 3.20, 6 Cd 3.20-3.49, 2 La 3.26
Cd5 0.5000 0.0000 0.7442  2 Pm 3.20, 6 Cd 3.20-3.49, 2 La 3.26

***

No. 9
Below is a geometry-optimized BeAl2Cd structure, with properties calculated at the PBE-GGA level.

Calculated values
Its density of states at the Fermi level is 1.57 states/eV/cell. As for the space group: Pmmm (47). The value obtained for the distance to the lowest polymorph of the same formula is 172 meV/atom.

Unit cell a=2.6983 b=4.9759 c=5.0533 alpha=90.00 beta=90.00 gamma=90.00
Last column: nearest neighbours and their distance in Å.
Element x y z (fractional)
Be1 0.0000 0.0000 0.0000  2 Be 2.70, 4 Cd 2.83, 4 Al 2.86
Al1 0.0000 0.5000 0.5000  6 Al 2.70-2.83, 4 Cd 2.86
Al2 0.5000 0.0000 0.5000  6 Al 2.70-2.83, 4 Be 2.86
Cd1 0.5000 0.5000 0.0000  2 Cd 2.70, 4 Be 2.83, 4 Al 2.86

***

No. 10
Below is a geometry-optimized ZrNb2V structure, with properties calculated at the PBE-GGA level.

Calculated values
Its density of states at the Fermi level is 3.76 states/eV/cell. As for the space group: R-3m (166). The value obtained for the distance to the lowest polymorph of the same formula is 354 meV/atom.

Unit cell a=9.7477 b=9.7477 c=9.7477 alpha=17.92 beta=17.92 gamma=17.92
Last column: nearest neighbours and their distance in Å.
Element x y z (fractional)
Zr1 0.0000 0.0000 0.0000  2 Nb 2.80, 6 Zr 3.04
Nb1 0.0975 0.0975 0.0975  3 V 2.65, 1 Zr 2.80
Nb2 0.9025 0.9025 0.9025  3 V 2.65, 1 Zr 2.80
V1 0.5000 0.5000 0.5000  6 Nb 2.65

***

No. 11
Below is a geometry-optimized Cs2SmBe2S4 structure, with properties calculated at the PBE-GGA level.

Calculated values
Its density of states at the Fermi level is 3.28 states/eV/cell. As for the space group: C2/m (12). The uncorrected formation energy comes out at -10.74 eV/f.u.

Unit cell a=7.7067 b=7.7067 c=8.3605 alpha=109.79 beta=109.79 gamma=28.51
Last column: nearest neighbours and their distance in Å.
Element x y z (fractional)
Cs1 0.1336 0.1336 0.0419  6 S 3.39-3.55, 2 Cs 3.80
Cs2 0.8664 0.8664 0.9581  6 S 3.39-3.55, 2 Cs 3.80
Sm1 0.0000 0.0000 0.5000  6 S 2.85-2.87
Be1 0.3268 0.3268 0.5298  4 S 2.08-2.24
Be2 0.6732 0.6732 0.4702  4 S 2.08-2.24
S1 0.2048 0.2048 0.6231  3 Be 2.22-2.24
S2 0.4608 0.4608 0.7205  1 Be 2.08
S3 0.5392 0.5392 0.2795  1 Be 2.08
S4 0.7952 0.7952 0.3769  3 Be 2.22-2.24

***

No. 12
Below is a geometry-optimized Gd2RuO structure, with properties calculated at the PBE-GGA level.

Calculated values
Its density of states at the Fermi level is 2.75 states/eV/cell. As for the space group: R-3m (166). The uncorrected formation energy comes out at -5.52 eV/f.u. The value obtained for the distance to the lowest polymorph of the same formula is 0 meV/atom.

Unit cell a=7.3241 b=7.3241 c=7.3241 alpha=27.61 beta=27.61 gamma=27.61
Last column: nearest neighbours and their distance in Å.
Element x y z (fractional)
Gd1 0.2387 0.2387 0.2387  3 O 2.53
Gd2 0.7613 0.7613 0.7613  3 O 2.53
Ru1 0.0000 0.0000 0.0000  6 Gd 2.84
O1 0.5000 0.5000 0.5000  6 Gd 2.53